No. 1
10
Lattice="6.7788 0.0000 0.0000 0.0000 6.7788 0.0000 0.0000 0.0000 6.1577" Properties=species:S:1:pos:R:3 comment="Cs2BeAs2, optimized geometry, DFT PBE" volume_a3_per_atom=28.30 n_ef_per_ev_atom=0.15 pbc="T T T"
Cs 1.2061 2.1833 0.0000
Cs 2.1833 5.5727 0.0000
Cs 4.5956 1.2061 0.0000
Cs 5.5727 4.5956 0.0000
Be 0.0000 0.0000 3.0789
Be 3.3894 3.3894 3.0789
As 0.9255 4.3149 3.0789
As 2.4639 0.9255 3.0789
As 4.3149 5.8533 3.0789
As 5.8533 2.4639 3.0789

No. 2
12
Lattice="-2.9948 11.4889 2.9670 2.9948 -11.4889 2.9670 2.9948 11.4889 -2.9670" Properties=species:S:1:pos:R:3 comment="Cs2BeCuAs2, optimized geometry, DFT PBE" volume_a3_per_atom=34.03 n_ef_per_ev_atom=0.58 pbc="T T T"
Cs 1.4493 3.0909 0.0000
Cs 1.4493 -3.0909 2.9670
Cs 1.5455 14.5798 0.0000
Cs 1.5455 8.3980 2.9670
Be 2.9948 0.0000 1.4835
Be 0.0000 11.4889 1.4835
Cu 0.0000 0.0000 1.4835
Cu 0.0000 0.0000 4.4505
As 4.3827 1.2113 0.0000
As 1.3878 10.2777 0.0000
As 1.6070 1.2113 2.9670
As -1.3878 10.2777 2.9670

Sequential energy of formation output: 0.4, -1.4 eV/f.u.